[1]
## ZrCdHg2Ru (PBE-GGA)

Data for a relaxed ZrCdHg2Ru crystal.

abc: 5.441 5.441 5.530
angles: 90.00 90.00 90.00
Space group P4/mmm (No. 123)
Asymmetric unit:
Zr1 0.000 0.000 0.000 [1 per cell]
Cd1 0.000 0.000 0.500 [1 per cell]
Hg1 0.000 0.500 0.000 [2 per cell]
Ru1 0.500 0.500 0.500 [1 per cell]

Calculated values
* DOS at the Fermi energy: 4.351 states/eV/f.u.
* energy of formation: 1.52 eV per atom
* electronic total energy: -2.35 eV per atom
* M_tot: 1.9 μB per formula unit



[2]
## Cd5Hg12S3 (PBE-GGA)

Data for a relaxed Cd5Hg12S3 crystal.

abc: 16.837 16.837 16.837
angles: 90.00 90.00 90.00
Space group Ia-3d (No. 230)
Asymmetric unit:
Cd1 0.000 0.000 0.000 [16 per cell]
Cd2 0.000 0.250 0.375 [24 per cell]
Hg1 0.025 0.089 0.649 [96 per cell]
S1 0.000 0.250 0.125 [24 per cell]

Calculated values
* DOS at the Fermi energy: 6.470 states/eV/f.u.
* formation energy without anion corrections: 0.08 eV per atom
* electronic total energy: -0.95 eV per atom
* M_tot: 0.0 μB per formula unit



[3]
## CdHg4S5 (PBE-GGA)

Data for a relaxed CdHg4S5 crystal.

abc: 8.649 8.649 6.804
angles: 90.00 90.00 90.00
Space group I4 (No. 79)
Asymmetric unit:
Cd1 0.000 0.000 0.000 [2 per cell]
Hg1 0.002 0.299 0.491 [8 per cell]
S1 0.000 0.000 0.616 [2 per cell]
S2 0.001 0.293 0.115 [8 per cell]

Calculated values
* DOS at the Fermi energy: 0.830 states/eV/f.u.
* formation energy without anion corrections: -0.11 eV per atom
* electronic total energy: -2.39 eV per atom
* M_tot: 0.0 μB per formula unit



[4]
## Cd3HgS3 (PBE-GGA)

Data for a relaxed Cd3HgS3 crystal.

abc: 7.5118 7.5118 27.3306
angles: 90.00 90.00 120.00
Space group R-3 (No. 148, hexagonal axes)
Asymmetric unit:
Cd1 0.0011 0.3325 0.2106 [18 per cell]
Hg1 0.0000 0.0000 0.3333 [6 per cell]
S1 0.0006 0.3322 0.1079 [18 per cell]

Calculated values
* formation energy without anion corrections: -0.42 eV per atom
* electronic total energy: -2.62 eV per atom
* M_tot: 0.0 μB per formula unit